Material: Hf2Cu3Pd
Method: DFT, PBE
State: relaxed

Computed properties:
- DFT total energy (eV/atom) = -6.38

```
Hf2Cu3Pd
1.0
-2.429 0.041 -2.314
1.320 -2.730 -1.434
-4.720 -4.839 4.869
Pd Hf Cu
1 2 3
Direct
0.000 0.000 0.168
0.500 0.500 0.998
0.000 0.000 0.501
0.500 0.500 0.673
0.500 0.500 0.337
0.000 0.000 0.823
```

***

Material: Gd3Zr4
Method: DFT, PBE
State: relaxed

Computed properties:
- relative energy among the computed polymorphs (eV/atom) = 0.009

```
Gd3Zr4
1.0
5.861 6.767 0.000
-2.930 8.459 0.000
0.000 0.000 5.393
Zr Gd
8 6
Direct
0.095 0.524 0.500
0.711 0.415 0.000
0.935 0.242 0.500
0.429 0.857 0.000
0.986 0.018 0.000
0.538 0.363 0.500
0.589 0.139 0.000
0.813 0.966 0.500
0.393 0.096 0.500
0.667 0.654 0.500
0.131 0.285 0.000
0.856 0.727 0.000
0.226 0.821 0.500
0.298 0.560 0.000
```

***

Material: BaLiTbSe3
Method: DFT, PBE
State: relaxed

Computed properties:
- relative energy among the computed polymorphs (eV/atom) = 0.000

```
BaLiTbSe3
1.0
10.782 0.000 0.000
0.000 4.273 0.000
0.000 0.000 14.068
Li Se Tb Ba
4 12 4 4
Direct
0.255 0.250 0.779
0.755 0.250 0.721
0.245 0.750 0.279
0.745 0.750 0.221
0.055 0.750 0.383
0.555 0.750 0.117
0.254 0.750 0.681
0.945 0.250 0.617
0.565 0.250 0.616
0.065 0.250 0.884
0.435 0.750 0.384
0.246 0.250 0.181
0.746 0.250 0.319
0.754 0.750 0.819
0.935 0.750 0.116
0.445 0.250 0.883
0.505 0.750 0.749
0.005 0.750 0.751
0.995 0.250 0.249
0.495 0.250 0.251
0.754 0.750 0.497
0.246 0.250 0.503
0.746 0.250 0.997
0.254 0.750 0.003
```

***

Material: NdYPa
Method: DFT, PBE
State: relaxed

Computed properties:
- relative energy among the computed polymorphs (eV/atom) = 0.000

```
NdYPa
1.0
0.000 3.677 3.677
3.677 0.000 3.677
3.677 3.677 0.000
Nd Pa Y
1 1 1
Direct
0.000 0.000 0.000
0.750 0.750 0.750
0.250 0.250 0.250
```

***

Material: Ta4SiNi
Method: DFT, PBE
State: relaxed

Computed properties:
- DFT total energy (eV/atom) = -10.19

```
Ta4SiNi
1.0
-3.104 3.104 2.488
3.104 -3.104 2.488
3.104 3.104 -2.488
Ta Ni Si
4 1 1
Direct
0.409 0.591 0.500
0.091 0.909 0.500
0.591 0.091 0.183
0.909 0.409 0.817
0.000 0.000 0.000
0.500 0.500 0.000
```

***

Material: HfTlAs2
Method: DFT, PBE
State: relaxed

Computed properties:
- DFT total energy (eV/atom) = -5.11

```
HfTlAs2
1.0
0.000 3.495 3.495
3.495 0.000 3.495
3.495 3.495 0.000
As Tl Hf
2 1 1
Direct
0.000 0.000 0.000
0.250 0.250 0.250
0.750 0.750 0.750
0.500 0.500 0.500
```

***

Material: Tb2Sc2O5
Method: DFT, PBE
State: relaxed

Computed properties:
- relative energy among the computed polymorphs (eV/atom) = 0.000

```
Tb2Sc2O5
1.0
7.297 0.000 0.000
0.000 4.028 0.000
0.000 0.000 4.028
O Tb Sc
5 2 2
Direct
0.767 0.000 0.500
0.233 0.000 0.500
0.500 0.500 0.500
0.767 0.500 0.000
0.233 0.500 0.000
0.000 0.000 0.000
0.500 0.000 0.000
0.772 0.500 0.500
0.228 0.500 0.500
```

***

Material: TbCuSnTeS2
Method: DFT, PBE
State: relaxed

Computed properties:
- DFT total energy (eV/atom) = -4.86

```
TbCuSnTeS2
1.0
-0.252 4.132 5.762
-3.442 -4.511 -4.260
3.382 -8.427 6.191
S Tb Te Cu Sn
4 2 2 2 2
Direct
0.875 0.125 0.422
0.125 0.875 0.578
0.875 0.125 0.078
0.125 0.875 0.922
0.500 0.500 0.500
0.500 0.500 0.000
0.395 0.605 0.750
0.605 0.395 0.250
0.975 0.025 0.250
0.025 0.975 0.750
0.706 0.294 0.750
0.294 0.706 0.250
```

***

no.,size of the total moment (μB per cell)
1,0.2
2,0.0
3,0.0
4,1.9
5,0.0
6,0.0
7,0.0
8,0.0